Compound: YScBe2
Source: Alexandria via LeMat-Bulk
Functional: GGA-PBE
Structure: relaxed

- total energy (eV/atom) = -4.9521
- energy of formation from the pure elements (eV/atom) = 0.11
- relative energy among the computed polymorphs (kJ/mol of atoms) = 8.2

```
data_YScBe2
_chemical_formula_sum 'Y2 Sc2 Be4'
_cell_length_a 3.2869
_cell_length_b 4.4478
_cell_length_c 9.7375
_cell_angle_alpha 90.00
_cell_angle_beta 90.00
_cell_angle_gamma 90.00
_space_group_name_H-M_alt 'I m m 2'
_space_group_IT_number 44
loop_
_space_group_symop_operation_xyz
'x,y,z'
'-x,-y,z'
'-x,y,z'
'x,-y,z'
'x+1/2,y+1/2,z+1/2'
'-x+1/2,-y+1/2,z+1/2'
'-x+1/2,y+1/2,z+1/2'
'x+1/2,-y+1/2,z+1/2'
loop_
_atom_site_label
_atom_site_type_symbol
_atom_site_fract_x
_atom_site_fract_y
_atom_site_fract_z
Y1 Y 0.0000 0.0000 0.0000
Sc1 Sc 0.0000 0.5000 0.2174
Be1 Be 0.0000 0.0000 0.4171
Be2 Be 0.0000 0.5000 0.7718
```